# CaSb2Te

A relaxed structure of CaSb2Te (PBE, the Alexandria database).

Properties
The calculation puts the formation energy (no corrections) at -190 kJ/mol of formula units. The calculation puts the density of states at the Fermi level at 4.7 states/eV per cell. The total magnetization comes out at 0.000 μB per formula unit.

Unit cell a=4.4488 b=4.4488 c=11.7352 alpha=90.00 beta=90.00 gamma=90.00
Space group I4/mmm (No. 139)
Asymmetric unit:
Ca 0.0000 0.0000 0.0000 x2
Sb 0.0000 0.5000 0.2500 x4
Te 0.0000 0.0000 0.5000 x2